1.
! SrMnMo2, single point on PBEsol structure, DFT SCAN; values from VASP
&SYSTEM
  ibrav = 0, nat = 4, ntyp = 3
/
ATOMIC_SPECIES
Sr 87.62 Sr.upf
Mn 54.94 Mn.upf
Mo 95.94 Mo.upf
ATOMIC_POSITIONS crystal
Sr 0.0000 0.0000 0.0000
Mn 0.5000 0.5000 0.2879
Mo 0.0000 0.0000 0.4856
Mo 0.5000 0.5000 0.7031
CELL_PARAMETERS angstrom
1.6649 -2.2958 0.0000
1.6649 2.2958 0.0000
0.0000 0.0000 9.3105
! DFT formation energy	2.91	eV/f.u.
! crystal system	orthorhombic



2.
! SrMnMo2, single point on PBEsol structure, DFT SCAN; values from VASP
&SYSTEM
  ibrav = 0, nat = 4, ntyp = 3
/
ATOMIC_SPECIES
Sr 87.62 Sr.upf
Mn 54.94 Mn.upf
Mo 95.94 Mo.upf
ATOMIC_POSITIONS crystal
Sr 0.0000 0.0000 0.0000
Mn 0.5000 0.5000 0.0000
Mo 0.0000 0.5000 0.5000
Mo 0.5000 0.0000 0.5000
CELL_PARAMETERS angstrom
4.9589 0.0000 0.0000
0.0000 4.9589 0.0000
0.0000 0.0000 2.8081
! DFT formation energy	5.43	eV/f.u.
! crystal system	tetragonal



3.
! TaMnMo2, single point on PBEsol structure, DFT SCAN; values from VASP
&SYSTEM
  ibrav = 0, nat = 4, ntyp = 3
/
ATOMIC_SPECIES
Ta 180.95 Ta.upf
Mn 54.94 Mn.upf
Mo 95.94 Mo.upf
ATOMIC_POSITIONS crystal
Ta 0.0000 0.0000 0.0000
Mn 0.7440 0.5000 0.2415
Mo 0.2576 0.5000 0.7370
Mo 0.4982 0.0000 0.4928
CELL_PARAMETERS angstrom
2.7170 0.0000 0.0000
0.0000 4.3148 0.0000
-0.8843 0.0000 5.0340
! DFT formation energy	0.06	eV/f.u.
! crystal system	monoclinic



4.
! TaMnMo2, single point on PBEsol structure, DFT SCAN; values from VASP
&SYSTEM
  ibrav = 0, nat = 4, ntyp = 3
/
ATOMIC_SPECIES
Ta 180.95 Ta.upf
Mn 54.94 Mn.upf
Mo 95.94 Mo.upf
ATOMIC_POSITIONS crystal
Ta 0.0000 0.0000 0.0000
Mn 0.5000 0.5000 0.0000
Mo 0.2539 0.7539 0.5000
Mo 0.7461 0.2461 0.5000
CELL_PARAMETERS angstrom
-1.5486 2.1663 4.3754
1.5486 -2.1663 4.3754
1.5486 2.1663 -4.3754
! DFT formation energy	-0.03	eV/f.u.
! crystal system	orthorhombic



5.
! TaMn2TeMo, single point on PBEsol structure, DFT SCAN; values from VASP
&SYSTEM
  ibrav = 0, nat = 5, ntyp = 4
/
ATOMIC_SPECIES
Ta 180.95 Ta.upf
Mn 54.94 Mn.upf
Te 127.60 Te.upf
Mo 95.94 Mo.upf
ATOMIC_POSITIONS crystal
Ta 0.0000 0.0000 0.0000
Mn 0.0000 0.5000 0.5000
Mn 0.5000 0.0000 0.5000
Te 0.5000 0.5000 0.0000
Mo 0.5000 0.5000 0.5000
CELL_PARAMETERS angstrom
4.3974 0.0000 0.0000
0.0000 4.3974 0.0000
0.0000 0.0000 5.0565
! energy relative to the elements, uncorrected	1364.9	meV per atom
! crystal system	tetragonal



6.
! MnTcMo, single point on PBEsol structure, DFT SCAN; values from VASP
&SYSTEM
  ibrav = 0, nat = 3, ntyp = 3
/
ATOMIC_SPECIES
Mn 54.94 Mn.upf
Tc 98.00 Tc.upf
Mo 95.94 Mo.upf
ATOMIC_POSITIONS crystal
Mn 0.0000 0.0000 0.0000
Tc 0.2500 0.2500 0.2500
Mo 0.7500 0.7500 0.7500
CELL_PARAMETERS angstrom
0.0000 2.8191 2.8191
2.8191 0.0000 2.8191
2.8191 2.8191 0.0000
! DFT formation energy	1.66	eV/f.u.
! crystal system	cubic



7.
! Mn2TcMo, single point on PBEsol structure, DFT SCAN; values from VASP
&SYSTEM
  ibrav = 0, nat = 4, ntyp = 3
/
ATOMIC_SPECIES
Mn 54.94 Mn.upf
Tc 98.00 Tc.upf
Mo 95.94 Mo.upf
ATOMIC_POSITIONS crystal
Mn 0.0000 0.0000 0.2475
Mn 0.0000 0.0000 0.7525
Tc 0.5000 0.5000 0.0000
Mo 0.5000 0.5000 0.5000
CELL_PARAMETERS angstrom
2.8207 0.0000 0.0000
0.0000 3.2246 0.0000
0.0000 0.0000 5.6347
! DFT formation energy	0.27	eV/f.u.
! crystal system	orthorhombic



8.
! Mn2TcMo, single point on PBEsol structure, DFT SCAN; values from VASP
&SYSTEM
  ibrav = 0, nat = 4, ntyp = 3
/
ATOMIC_SPECIES
Mn 54.94 Mn.upf
Tc 98.00 Tc.upf
Mo 95.94 Mo.upf
ATOMIC_POSITIONS crystal
Mn 0.2500 0.2500 0.2500
Mn 0.7500 0.7500 0.7500
Tc 0.0000 0.0000 0.0000
Mo 0.5000 0.5000 0.5000
CELL_PARAMETERS angstrom
0.0000 2.9574 2.9574
2.9574 0.0000 2.9574
2.9574 2.9574 0.0000
! DFT formation energy	0.13	eV/f.u.
! crystal system	cubic



9.
! MnTeMo2, single point on PBEsol structure, DFT SCAN; values from VASP
&SYSTEM
  ibrav = 0, nat = 4, ntyp = 3
/
ATOMIC_SPECIES
Mn 54.94 Mn.upf
Te 127.60 Te.upf
Mo 95.94 Mo.upf
ATOMIC_POSITIONS crystal
Mn 0.0000 0.0000 0.0000
Te 0.5000 0.5000 0.0000
Mo 0.0000 0.5000 0.5000
Mo 0.5000 0.0000 0.5000
CELL_PARAMETERS angstrom
4.4578 0.0000 0.0000
0.0000 4.4578 0.0000
0.0000 0.0000 3.1526
! energy relative to the elements, uncorrected	239.8	meV per atom
! crystal system	tetragonal



10.
! MnTeMo2, single point on PBEsol structure, DFT SCAN; values from VASP
&SYSTEM
  ibrav = 0, nat = 4, ntyp = 3
/
ATOMIC_SPECIES
Mn 54.94 Mn.upf
Te 127.60 Te.upf
Mo 95.94 Mo.upf
ATOMIC_POSITIONS crystal
Mn 0.0000 0.0000 0.0000
Te 0.9473 0.5000 0.7162
Mo 0.3477 0.0000 0.4487
Mo 0.6386 0.5000 0.1880
CELL_PARAMETERS angstrom
2.9885 0.0000 0.0000
0.0000 4.1817 0.0000
-1.3882 0.0000 5.0047
! energy relative to the elements, uncorrected	516.1	meV per atom
! crystal system	monoclinic



11.
! MnTeMo2, single point on PBEsol structure, DFT SCAN; values from VASP
&SYSTEM
  ibrav = 0, nat = 4, ntyp = 3
/
ATOMIC_SPECIES
Mn 54.94 Mn.upf
Te 127.60 Te.upf
Mo 95.94 Mo.upf
ATOMIC_POSITIONS crystal
Mn 0.0000 0.0000 0.0000
Te 0.7500 0.7500 0.7500
Mo 0.2500 0.2500 0.2500
Mo 0.5000 0.5000 0.5000
CELL_PARAMETERS angstrom
0.0000 3.1122 3.1122
3.1122 0.0000 3.1122
3.1122 3.1122 0.0000
! energy relative to the elements, uncorrected	476.0	meV per atom
! crystal system	cubic



12.
! Mn3TlMo, single point on PBEsol structure, DFT SCAN; values from VASP
&SYSTEM
  ibrav = 0, nat = 5, ntyp = 3
/
ATOMIC_SPECIES
Mn 54.94 Mn.upf
Tl 204.38 Tl.upf
Mo 95.94 Mo.upf
ATOMIC_POSITIONS crystal
Mn 0.0000 0.0000 0.5000
Mn 0.0000 0.5000 0.0000
Mn 0.5000 0.0000 0.0000
Tl 0.5000 0.5000 0.5000
Mo 0.0000 0.0000 0.0000
CELL_PARAMETERS angstrom
4.5215 0.0000 0.0000
0.0000 4.5215 0.0000
0.0000 0.0000 4.5215
! DFT formation energy	5.31	eV/f.u.
! crystal system	cubic



13.
! MnTlMo2, single point on PBEsol structure, DFT SCAN; values from VASP
&SYSTEM
  ibrav = 0, nat = 4, ntyp = 3
/
ATOMIC_SPECIES
Mn 54.94 Mn.upf
Tl 204.38 Tl.upf
Mo 95.94 Mo.upf
ATOMIC_POSITIONS crystal
Mn 0.0000 0.0000 0.0000
Tl 0.5000 0.5000 0.6978
Mo 0.0000 0.0000 0.3869
Mo 0.5000 0.5000 0.1803
CELL_PARAMETERS angstrom
2.9913 0.0000 0.0000
0.0000 3.7529 0.0000
0.0000 0.0000 5.7837
! DFT formation energy	2.33	eV/f.u.
! crystal system	orthorhombic



14.
! Mn2TlMo, single point on PBEsol structure, DFT SCAN; values from VASP
&SYSTEM
  ibrav = 0, nat = 4, ntyp = 3
/
ATOMIC_SPECIES
Mn 54.94 Mn.upf
Tl 204.38 Tl.upf
Mo 95.94 Mo.upf
ATOMIC_POSITIONS crystal
Mn 0.0000 0.0000 0.0000
Mn 0.5000 0.5000 0.2104
Tl 0.5000 0.5000 0.7185
Mo 0.0000 0.0000 0.4045
CELL_PARAMETERS angstrom
3.0292 0.0000 0.0000
0.0000 3.0292 0.0000
0.0000 0.0000 6.6691
! DFT formation energy	1.10	eV/f.u.
! crystal system	tetragonal



15.
! Mn2MoW, single point on PBEsol structure, DFT SCAN; values from VASP
&SYSTEM
  ibrav = 0, nat = 4, ntyp = 3
/
ATOMIC_SPECIES
Mn 54.94 Mn.upf
Mo 95.94 Mo.upf
W 183.84 W.upf
ATOMIC_POSITIONS crystal
Mn 0.0000 0.0000 0.0000
Mn 0.7500 0.2500 0.5000
Mo 0.5000 0.5000 0.0000
W 0.2500 0.7500 0.5000
CELL_PARAMETERS angstrom
-1.7866 1.7866 4.1605
1.7866 -1.7866 4.1605
1.7866 1.7866 -4.1605
! DFT formation energy	1.04	eV/f.u.
! crystal system	tetragonal